1.
VASP calculation (PBE-GGA) on Sm3Y2Tm5 after structural relaxation.

The calculation puts the total energy at -4.74 eV per atom. The formation energy is 0.20 eV per atom. The value obtained for the relative energy among the computed polymorphs is 0.0 meV per atom. Its crystal system is monoclinic.

The structure belongs to space group C2/c (No. 15); the cell edges are 10.6311, 15.6337 and 9.4507 Å and the angles 90.00°, 124.13° and 90.00°. The inequivalent atoms are Sm at (0.0000, 0.2319, 0.2500), Sm at (0.1478, 0.1234, 0.0478), Y at (0.1500, 0.3806, 0.5484), Tm at (0.0000, 0.0246, 0.2500), Tm at (0.0000, 0.2703, 0.7500), Tm at (0.0000, 0.4726, 0.7500) and Tm at (0.2456, 0.3848, 0.2410).

2.
VASP calculation (PBE-GGA) on Li2HoCo9 after structural relaxation.

The calculation puts the total energy at -6.04 eV per atom. The formation energy is -0.01 eV per atom. Its crystal system is tetragonal.

The structure belongs to space group P4/mbm (No. 127); the cell edges are 8.0063, 8.0063 and 4.7764 Å and the angles 90.00°, 90.00° and 90.00°. The inequivalent atoms are Li at (0.1151, 0.3849, 0.0000), Ho at (0.0000, 0.0000, 0.0000), Co at (0.0000, 0.5000, 0.5000), Co at (0.0677, 0.2107, 0.5000) and Co at (0.1797, 0.6797, 0.2368).

3.
VASP calculation (PBE-GGA) on Pr3YO6 after structural relaxation.

The calculation puts the total energy at -8.43 eV per atom. Its crystal system is trigonal. As for the energy relative to the elements, uncorrected: -3.378 eV/atom.

The structure belongs to space group R-3 (No. 148, hexagonal axes); the cell edges are 10.0882, 10.0882 and 11.7672 Å and the angles 90.00°, 90.00° and 120.00°. The inequivalent atoms are Pr at (0.0387, 0.2659, 0.2093), Y at (0.0000, 0.0000, 0.0000), Y at (0.0000, 0.0000, 0.5000), O at (0.0275, 0.1849, 0.8755) and O at (0.0287, 0.2139, 0.4053).

4.
VASP calculation (PBE-GGA) on PrMnSi2Os after structural relaxation.

The calculation puts the total energy at -7.86 eV per atom. Its crystal system is tetragonal. As for the energy relative to the elements, uncorrected: -0.651 eV/atom.

The structure belongs to space group I-4m2 (No. 119); the cell edges are 4.0617, 4.0617 and 10.4959 Å and the angles 90.00°, 90.00° and 90.00°. The inequivalent atoms are Pr at (0.0000, 0.0000, 0.0000), Mn at (0.0000, 0.5000, 0.7500), Si at (0.0000, 0.0000, 0.3757) and Os at (0.0000, 0.5000, 0.2500).

5.
VASP calculation (PBE-GGA) on Sb2ICl after structural relaxation.

The calculation puts the total energy at -2.59 eV per atom. The value obtained for the relative energy among the computed polymorphs is 105.5 meV per atom. Its crystal system is cubic. As for the energy relative to the elements, uncorrected: 0.316 eV/atom.

The structure belongs to space group Fm-3m (No. 225); the cell edges are 7.6225, 7.6225 and 7.6225 Å and the angles 90.00°, 90.00° and 90.00°. The inequivalent atoms are Sb at (0.2500, 0.2500, 0.2500), I at (0.0000, 0.0000, 0.0000) and Cl at (0.0000, 0.0000, 0.5000).

6.
VASP calculation (PBE-GGA) on Al4VTc after structural relaxation.

The calculation puts the total energy at -5.78 eV per atom. The formation energy is -0.04 eV per atom. Its crystal system is monoclinic.

The structure belongs to space group C2/m (No. 12); the cell edges are 5.2431, 7.3986 and 5.3857 Å and the angles 90.00°, 117.43° and 90.00°. The inequivalent atoms are Al at (0.0137, 0.1840, 0.2550), V at (0.0000, 0.5000, 0.0000) and Tc at (0.0000, 0.5000, 0.5000).

7.
VASP calculation (PBE-GGA) on Sr2CaPdN after structural relaxation.

The calculation puts the total energy at -4.31 eV per atom. Its crystal system is tetragonal. As for the energy relative to the elements, uncorrected: -0.538 eV/atom.

The structure belongs to space group P4/mmm (No. 123); the cell edges are 5.2107, 5.2107 and 4.7651 Å and the angles 90.00°, 90.00° and 90.00°. The inequivalent atoms are Sr at (0.0000, 0.5000, 0.0000), Ca at (0.0000, 0.0000, 0.5000), Pd at (0.5000, 0.5000, 0.5000) and N at (0.0000, 0.0000, 0.0000).

8.
VASP calculation (PBE-GGA) on TlCrNi2N after structural relaxation.

The calculation puts the total energy at -6.31 eV per atom. Its crystal system is tetragonal. As for the energy relative to the elements, uncorrected: 0.064 eV/atom.

The structure belongs to space group P4/mmm (No. 123); the cell edges are 3.9994, 3.9994 and 3.8385 Å and the angles 90.00°, 90.00° and 90.00°. The inequivalent atoms are Tl at (0.0000, 0.0000, 0.0000), Cr at (0.5000, 0.5000, 0.0000), Ni at (0.0000, 0.5000, 0.5000) and N at (0.5000, 0.5000, 0.5000).

9.
VASP calculation (PBE-GGA) on CdInAu2Br after structural relaxation.

The calculation puts the total energy at -1.85 eV per atom. Its crystal system is tetragonal. As for the energy relative to the elements, uncorrected: 0.523 eV/atom.

The structure belongs to space group P4/mmm (No. 123); the cell edges are 5.1798, 5.1798 and 6.1688 Å and the angles 90.00°, 90.00° and 90.00°. The inequivalent atoms are Cd at (0.0000, 0.0000, 0.0000), In at (0.5000, 0.5000, 0.0000), Au at (0.0000, 0.5000, 0.5000) and Br at (0.5000, 0.5000, 0.5000).

10.
VASP calculation (PBE-GGA) on NpZn3Au3 after structural relaxation.

The calculation puts the total energy at -3.52 eV per atom. The formation energy is 0.28 eV per atom. Its crystal system is cubic.

The structure belongs to space group Pm-3n (No. 223); the cell edges are 7.0169, 7.0169 and 7.0169 Å and the angles 90.00°, 90.00° and 90.00°. The inequivalent atoms are Np at (0.0000, 0.0000, 0.0000), Zn at (0.0000, 0.2500, 0.5000) and Au at (0.0000, 0.5000, 0.2500).

11.
VASP calculation (PBE-GGA) on CaP2CN6 after structural relaxation.

The calculation puts the total energy at -7.33 eV per atom. Its crystal system is monoclinic. As for the energy relative to the elements, uncorrected: -0.127 eV/atom.

The structure belongs to space group C2/c (No. 15); the cell edges are 8.9454, 10.3473 and 5.2748 Å and the angles 90.00°, 114.10° and 90.00°. The inequivalent atoms are Ca at (0.0000, 0.1812, 0.2500), P at (0.2498, 0.0774, 0.9181), C at (0.0000, 0.2753, 0.7500), N at (0.0727, 0.3524, 0.0021), N at (0.1205, 0.1885, 0.7272) and N at (0.2143, 0.0385, 0.1906).

12.
VASP calculation (PBE-GGA) on Hg2P2O7 after structural relaxation.

The calculation puts the total energy at -5.72 eV per atom. The value obtained for the relative energy among the computed polymorphs is 0.0 meV per atom. Its crystal system is triclinic. As for the energy relative to the elements, uncorrected: -1.529 eV/atom.

The structure belongs to space group P-1 (No. 2); the cell edges are 6.8082, 7.0625 and 7.2383 Å and the angles 77.29°, 67.64° and 80.09°. The inequivalent atoms are Hg at (0.1029, 0.1749, 0.2462), Hg at (0.3055, 0.3139, 0.6212), P at (0.2093, 0.6607, 0.2664), P at (0.3581, 0.8696, 0.8353), O at (0.0648, 0.8317, 0.3637), O at (0.0763, 0.5215, 0.2403), O at (0.2230, 0.7679, 0.7691), O at (0.2643, 0.0804, 0.8792), O at (0.3692, 0.5589, 0.3720), O at (0.3752, 0.7505, 0.0472) and O at (0.4092, 0.1334, 0.3139).

13.
VASP calculation (PBE-GGA) on RbZrAs2O8 after structural relaxation.

The calculation puts the total energy at -6.62 eV per atom. Its crystal system is trigonal. As for the energy relative to the elements, uncorrected: -1.744 eV/atom.

The structure belongs to space group P-3 (No. 147); the cell edges are 5.5558, 5.5558 and 8.1596 Å and the angles 90.00°, 90.00° and 120.00°. The inequivalent atoms are Rb at (0.0000, 0.0000, 0.0000), Zr at (0.0000, 0.0000, 0.5000), As at (0.3333, 0.6667, 0.7222), O at (0.0996, 0.3394, 0.6542) and O at (0.3333, 0.6667, 0.9320).

14.
VASP calculation (PBE-GGA) on Cd2PW after structural relaxation.

The calculation puts the total energy at -4.33 eV per atom. The formation energy is 0.72 eV per atom. The value obtained for the relative energy among the computed polymorphs is 596.1 meV per atom. Its crystal system is tetragonal.

The structure belongs to space group I-4m2 (No. 119); the cell edges are 4.1344, 4.1344 and 8.3134 Å and the angles 90.00°, 90.00° and 90.00°. The inequivalent atoms are Cd at (0.0000, 0.0000, 0.0000), Cd at (0.0000, 0.5000, 0.2500), P at (0.0000, 0.5000, 0.7500) and W at (0.0000, 0.0000, 0.5000).

15.
VASP calculation (PBE-GGA) on CaUPbO6 after structural relaxation.

The calculation puts the total energy at -7.49 eV per atom. Its crystal system is trigonal. As for the energy relative to the elements, uncorrected: -2.293 eV/atom.

The structure belongs to space group P-31c (No. 163); the cell edges are 5.6560, 5.6560 and 10.0970 Å and the angles 90.00°, 90.00° and 120.00°. The inequivalent atoms are Ca at (0.0000, 0.0000, 0.0000), U at (0.3333, 0.6667, 0.2500), Pb at (0.3333, 0.6667, 0.7500) and O at (0.0142, 0.3598, 0.1362).

16.
VASP calculation (PBE-GGA) on ZrAl2Pt after structural relaxation.

The calculation puts the total energy at -6.04 eV per atom. The formation energy is -0.52 eV per atom. Its crystal system is tetragonal.

The structure belongs to space group I-42d (No. 122); the cell edges are 7.3204, 7.3204 and 5.6090 Å and the angles 90.00°, 90.00° and 90.00°. The inequivalent atoms are Zr at (0.0000, 0.0000, 0.0000), Al at (0.2067, 0.2500, 0.6250) and Pt at (0.0000, 0.0000, 0.5000).

17.
VASP calculation (PBE-GGA) on MnHg5 after structural relaxation.

The calculation puts the total energy at -1.55 eV per atom. The formation energy is 0.23 eV per atom. Its crystal system is hexagonal.

The structure belongs to space group P-62m (No. 189); the cell edges are 6.0465, 6.0465 and 4.4841 Å and the angles 90.00°, 90.00° and 120.00°. The inequivalent atoms are Mn at (0.0000, 0.0000, 0.0000), Hg at (0.0000, 0.6922, 0.5000) and Hg at (0.3333, 0.6667, 0.0000).

18.
VASP calculation (PBE-GGA) on LaAlMoBr2 after structural relaxation.

The calculation puts the total energy at -4.06 eV per atom. Its crystal system is tetragonal. As for the energy relative to the elements, uncorrected: 0.510 eV/atom.

The structure belongs to space group P4/mmm (No. 123); the cell edges are 5.6942, 5.6942 and 6.4545 Å and the angles 90.00°, 90.00° and 90.00°. The inequivalent atoms are La at (0.0000, 0.0000, 0.0000), Al at (0.0000, 0.0000, 0.5000), Mo at (0.5000, 0.5000, 0.5000) and Br at (0.0000, 0.5000, 0.0000).

19.
VASP calculation (PBE-GGA) on CuBSe2 after structural relaxation.

The calculation puts the total energy at -4.45 eV per atom. Its crystal system is monoclinic. As for the energy relative to the elements, uncorrected: -0.017 eV/atom.

The structure belongs to space group Pm (No. 6); the cell edges are 3.5024, 3.5040 and 5.6681 Å and the angles 90.00°, 90.07° and 90.00°. The inequivalent atoms are Cu at (0.0000, 0.0000, 0.0000), B at (0.5019, 0.5000, 0.5002), Se at (0.0015, 0.5000, 0.7150) and Se at (0.5009, 0.0000, 0.2854).

20.
VASP calculation (PBE-GGA) on CdGa2Se2 after structural relaxation.

The calculation puts the total energy at -2.92 eV per atom. The value obtained for the relative energy among the computed polymorphs is 0.0 meV per atom. Its crystal system is tetragonal. As for the energy relative to the elements, uncorrected: -0.133 eV/atom.

The structure belongs to space group P4/mbm (No. 127); the cell edges are 7.9027, 7.9027 and 3.8316 Å and the angles 90.00°, 90.00° and 90.00°. The inequivalent atoms are Cd at (0.0000, 0.0000, 0.0000), Ga at (0.1222, 0.3778, 0.5000) and Se at (0.2015, 0.7015, 0.0000).